A geometry-optimized VZnTcRu structure, computed with GGA-PBE.

Geometry as CIF:
```
data_VZnTcRu
_chemical_formula_sum 'V4 Zn4 Tc4 Ru4'
_cell_length_a 6.044
_cell_length_b 6.044
_cell_length_c 6.044
_cell_angle_alpha 90.00
_cell_angle_beta 90.00
_cell_angle_gamma 90.00
_symmetry_space_group_name_H-M 'F -4 3 m'
_symmetry_Int_Tables_number 216
_symmetry_space_group_name_Hall 'F -4 2 3'
loop_
_atom_site_label
_atom_site_type_symbol
_atom_site_fract_x
_atom_site_fract_y
_atom_site_fract_z
V1 V 0.000 0.000 0.000
Zn1 Zn 0.000 0.000 0.500
Tc1 Tc 0.250 0.250 0.750
Ru1 Ru 0.250 0.250 0.250
```

Output
**ΔH_f (0 K)**: -0.09 eV per atom
**Crystal system**: cubic


A geometry-optimized ZrVTcRu structure, computed with GGA-PBE.

Geometry as CIF:
```
data_ZrVTcRu
_chemical_formula_sum 'Zr4 V4 Tc4 Ru4'
_cell_length_a 6.307
_cell_length_b 6.307
_cell_length_c 6.307
_cell_angle_alpha 90.00
_cell_angle_beta 90.00
_cell_angle_gamma 90.00
_symmetry_space_group_name_H-M 'F -4 3 m'
_symmetry_Int_Tables_number 216
_symmetry_space_group_name_Hall 'F -4 2 3'
loop_
_atom_site_label
_atom_site_type_symbol
_atom_site_fract_x
_atom_site_fract_y
_atom_site_fract_z
Zr1 Zr 0.000 0.000 0.000
V1 V 0.000 0.000 0.500
Tc1 Tc 0.250 0.250 0.250
Ru1 Ru 0.250 0.250 0.750
```

Output
**ΔH_f (0 K)**: -0.36 eV per atom
**Crystal system**: cubic


A geometry-optimized TcRuW2 structure, computed with GGA-PBE.

Geometry as CIF:
```
data_TcRuW2
_chemical_formula_sum 'Tc2 Ru2 W4'
_cell_length_a 3.892
_cell_length_b 3.892
_cell_length_c 8.080
_cell_angle_alpha 90.00
_cell_angle_beta 90.00
_cell_angle_gamma 90.00
_symmetry_space_group_name_H-M 'I -4 m 2'
_symmetry_Int_Tables_number 119
_symmetry_space_group_name_Hall 'I -4 -2'
loop_
_atom_site_label
_atom_site_type_symbol
_atom_site_fract_x
_atom_site_fract_y
_atom_site_fract_z
Tc1 Tc 0.000 0.000 0.000
Ru1 Ru 0.000 0.500 0.250
W1 W 0.000 0.000 0.500
W2 W 0.000 0.500 0.750
```

Output
**ΔH_f (0 K)**: 0.16 eV per atom
**Crystal system**: tetragonal
**Relative energy among the computed polymorphs**: 40 meV/atom


A geometry-optimized TcRu2W structure, computed with GGA-PBE.

Geometry as CIF:
```
data_TcRu2W
_chemical_formula_sum 'Tc1 Ru2 W1'
_cell_length_a 2.752
_cell_length_b 2.752
_cell_length_c 7.770
_cell_angle_alpha 90.00
_cell_angle_beta 90.00
_cell_angle_gamma 90.00
_symmetry_space_group_name_H-M 'P 4 m m'
_symmetry_Int_Tables_number 99
loop_
_symmetry_equiv_pos_as_xyz
'x,y,z'
'-y,x,z'
'-x,-y,z'
'y,-x,z'
'-x,y,z'
'y,x,z'
'x,-y,z'
'-y,-x,z'
loop_
_atom_site_label
_atom_site_type_symbol
_atom_site_fract_x
_atom_site_fract_y
_atom_site_fract_z
Tc1 Tc 0.000 0.000 0.000
Ru1 Ru 0.000 0.000 0.515
Ru2 Ru 0.500 0.500 0.764
W1 W 0.500 0.500 0.267
```

Output
**ΔH_f (0 K)**: 0.10 eV per atom
**Crystal system**: tetragonal
**Relative energy among the computed polymorphs**: 85 meV/atom


A geometry-optimized Tc2RuW structure, computed with GGA-PBE.

Geometry as CIF:
```
data_Tc2RuW
_chemical_formula_sum 'Tc8 Ru4 W4'
_cell_length_a 6.216
_cell_length_b 6.216
_cell_length_c 6.216
_cell_angle_alpha 90.00
_cell_angle_beta 90.00
_cell_angle_gamma 90.00
_symmetry_space_group_name_H-M 'F m -3 m'
_symmetry_Int_Tables_number 225
_symmetry_space_group_name_Hall '-F 4 2 3'
loop_
_atom_site_label
_atom_site_type_symbol
_atom_site_fract_x
_atom_site_fract_y
_atom_site_fract_z
Tc1 Tc 0.250 0.250 0.250
Ru1 Ru 0.000 0.000 0.000
W1 W 0.000 0.000 0.500
```

Output
**ΔH_f (0 K)**: 0.28 eV per atom
**Crystal system**: cubic
**Relative energy among the computed polymorphs**: 224 meV/atom


A geometry-optimized TcRu2W structure, computed with GGA-PBE.

Geometry as CIF:
```
data_TcRu2W
_chemical_formula_sum 'Tc2 Ru4 W2'
_cell_length_a 9.067
_cell_length_b 2.764
_cell_length_c 4.768
_cell_angle_alpha 90.00
_cell_angle_beta 100.28
_cell_angle_gamma 90.00
_symmetry_space_group_name_H-M 'C 1 m 1'
_symmetry_Int_Tables_number 8
loop_
_symmetry_equiv_pos_as_xyz
'x,y,z'
'x,-y,z'
'x+1/2,y+1/2,z'
'x+1/2,-y+1/2,z'
loop_
_atom_site_label
_atom_site_type_symbol
_atom_site_fract_x
_atom_site_fract_y
_atom_site_fract_z
Tc1 Tc 0.000 0.000 0.000
Ru1 Ru 0.248 0.500 0.219
Ru2 Ru 0.493 0.000 0.479
W1 W 0.246 0.000 0.721
```

Output
**ΔH_f (0 K)**: 0.06 eV per atom
**Crystal system**: monoclinic
**Relative energy among the computed polymorphs**: 47 meV/atom


A geometry-optimized Tc2Ru2W structure, computed with GGA-PBE.

Geometry as CIF:
```
data_Tc2Ru2W
_chemical_formula_sum 'Tc4 Ru4 W2'
_cell_length_a 7.394
_cell_length_b 7.394
_cell_length_c 2.762
_cell_angle_alpha 90.00
_cell_angle_beta 90.00
_cell_angle_gamma 90.00
_symmetry_space_group_name_H-M 'P 4/m b m'
_symmetry_Int_Tables_number 127
_symmetry_space_group_name_Hall '-P 4 2ab'
loop_
_atom_site_label
_atom_site_type_symbol
_atom_site_fract_x
_atom_site_fract_y
_atom_site_fract_z
Tc1 Tc 0.123 0.377 0.000
Ru1 Ru 0.172 0.672 0.500
W1 W 0.000 0.000 0.000
```

Output
**ΔH_f (0 K)**: 0.24 eV per atom
**Crystal system**: tetragonal
**Relative energy among the computed polymorphs**: 4 meV/atom


A geometry-optimized TcRuW2 structure, computed with GGA-PBE.

Geometry as CIF:
```
data_TcRuW2
_chemical_formula_sum 'Tc2 Ru2 W4'
_cell_length_a 3.111
_cell_length_b 4.441
_cell_length_c 8.927
_cell_angle_alpha 90.00
_cell_angle_beta 90.00
_cell_angle_gamma 90.00
_symmetry_space_group_name_H-M 'I m m 2'
_symmetry_Int_Tables_number 44
loop_
_symmetry_equiv_pos_as_xyz
'x,y,z'
'-x,-y,z'
'-x,y,z'
'x,-y,z'
'x+1/2,y+1/2,z+1/2'
'-x+1/2,-y+1/2,z+1/2'
'-x+1/2,y+1/2,z+1/2'
'x+1/2,-y+1/2,z+1/2'
loop_
_atom_site_label
_atom_site_type_symbol
_atom_site_fract_x
_atom_site_fract_y
_atom_site_fract_z
Tc1 Tc 0.000 0.000 0.000
Ru1 Ru 0.000 0.500 0.227
W1 W 0.000 0.000 0.479
W2 W 0.000 0.500 0.742
```

Output
**ΔH_f (0 K)**: 0.15 eV per atom
**Crystal system**: orthorhombic
**Relative energy among the computed polymorphs**: 31 meV/atom